The following is a DFT calculation (PBE) of a relaxed structure of AlGaPb.

Results
V = 68.7 Å³/cell
Space group = I4mm
Energy of formation from the pure elements = 0.1483 eV/atom

a b c (Å): 6.526 6.526 6.526
angles (deg): 150.13 150.13 42.75
Element x y z (fractional)
1 Al 0.000 0.000 0.000
2 Ga 0.623 0.623 0.000
3 Pb 0.318 0.318 0.000